Model P:
# GGA-PBE SrHf2Pd2, optimized geometry
data_SrHf2Pd2
_symmetry_space_group_name_H-M 'P 1'
_symmetry_Int_Tables_number 1
_cell_length_a 4.625
_cell_length_b 4.625
_cell_length_c 6.502
_cell_angle_alpha 69.17
_cell_angle_beta 69.17
_cell_angle_gamma 90.00
loop_
_symmetry_equiv_pos_as_xyz
'x,y,z'
loop_
_atom_site_label
_atom_site_fract_x
_atom_site_fract_y
_atom_site_fract_z
Hf1 0.750 0.250 0.500
Hf2 0.250 0.750 0.500
Pd1 0.375 0.375 0.249
Pd2 0.625 0.625 0.751
Sr1 0.000 0.000 0.000
# Fermi-level density of states = 3.63 states/eV/f.u.
# Space-group type = I4/mmm, No. 139


Model Q:
# GGA-PBE SrHf2Pd2, optimized geometry
data_SrHf2Pd2
_symmetry_space_group_name_H-M 'P 1'
_symmetry_Int_Tables_number 1
_cell_length_a 8.178
_cell_length_b 8.178
_cell_length_c 3.293
_cell_angle_alpha 90.00
_cell_angle_beta 90.00
_cell_angle_gamma 90.00
loop_
_symmetry_equiv_pos_as_xyz
'x,y,z'
loop_
_atom_site_label
_atom_site_fract_x
_atom_site_fract_y
_atom_site_fract_z
Hf1 0.348 0.152 0.500
Pd1 0.373 0.873 0.000
Hf2 0.152 0.652 0.500
Hf3 0.848 0.348 0.500
Sr1 0.500 0.500 0.000
Pd2 0.873 0.627 0.000
Pd3 0.627 0.127 0.000
Sr2 0.000 0.000 0.000
Hf4 0.652 0.848 0.500
Pd4 0.127 0.373 0.000
# Fermi-level density of states = 4.13 states/eV/f.u.
# Space-group type = P4/mbm, No. 127


We find model P to be the most stable, with the next structure 143 meV per atom higher.